The following is a PBE calculation of a relaxed Pm3In2Ge3 crystal, from Alexandria.

```
Pm3In2Ge3
1.0
-4.5662 -3.7252 -1.7484
-0.1136 -3.7044 8.1895
-5.1539 7.1487 -1.7712
Pm Ge In
6 6 4
Cartesian
-1.2190 -3.4567 5.1458
-2.8181 0.1649 1.6057
-3.4608 -3.9730 1.2953
-4.6551 3.9421 -1.6446
-5.0650 -0.5186 -1.8750
-7.0156 -0.4459 3.0642
-4.5511 1.2981 3.7174
-6.7607 1.8333 -2.4578
-3.4981 -5.1918 3.9897
-1.1816 -2.2379 2.4514
-5.2825 -1.5791 0.9525
-2.9594 1.5901 -1.0618
-3.4738 3.5310 1.5490
-5.7569 1.6684 0.6748
-1.7937 -0.0867 4.8693
-4.0768 -1.9493 3.9951
```

Calculated values
Total energy (eV per cell): -74.93
Formation energy (eV/atom): -0.4858
V (Å³/cell): 430.15

***

The following is a PBE calculation of a relaxed Pm12In5Ge3 crystal, from Alexandria.

```
Pm12In5Ge3
1.0
15.4888 0.0000 0.0000
-5.1629 14.6030 0.0000
-5.1629 -7.3015 12.6466
Pm Ge In
48 12 20
Cartesian
-0.3536 5.4294 0.9049
6.8657 2.3491 1.7311
8.3434 -0.7203 2.8999
7.8182 13.0811 0.8262
-5.0891 5.7796 11.8204
10.2520 1.5219 0.8262
-0.5989 0.7203 2.8999
2.2279 -1.8721 11.7417
5.5165 1.8721 11.7417
-2.6553 -5.7796 11.8204
2.5076 9.4758 5.4184
0.0738 5.1272 5.4184
-6.0417 3.9753 9.2232
-5.5165 0.1524 10.5728
5.0891 2.1743 7.2282
2.2279 1.7197 11.4777
1.7027 0.9771 7.4921
-4.5640 6.5223 7.1495
-1.9825 -0.7792 5.4971
-2.2279 -0.1524 10.5728
2.9351 9.1736 0.9049
4.5640 -1.4995 4.2496
7.1455 8.0807 7.1495
7.8182 3.6962 4.5922
-0.3536 9.0212 1.1688
-2.6553 3.6053 8.0543
10.3997 -3.6053 8.0543
-4.2842 12.2539 1.7311
-5.2368 10.9068 4.5922
-0.8787 8.2786 5.1544
2.6553 -2.1743 7.2282
9.7269 0.7792 5.4971
7.3908 7.4539 2.0737
9.4471 -4.9524 10.9155
6.0417 -0.9771 7.4921
3.1804 1.4995 4.2496
5.5165 -1.7197 11.4777
3.4602 6.3244 5.1544
-3.1804 8.0218 9.7467
10.6795 7.1491 2.0737
6.8657 11.2768 3.4234
1.9825 5.8020 8.3970
2.9351 5.5818 1.1688
-1.7027 -3.9753 9.2232
0.5989 8.8010 8.3970
-1.7027 4.9524 10.9155
5.7619 6.5812 9.7467
11.2046 3.3261 3.4234
3.8722 0.0000 9.4849
1.2907 7.3015 3.1616
-3.8722 -2.7381 11.0657
9.0351 4.5634 1.5808
-6.4537 7.3015 9.4849
-1.2907 6.3888 7.9041
6.4537 0.9127 4.7425
1.2907 -0.9127 4.7425
11.6166 0.0000 3.1616
3.8722 8.2142 7.9041
9.0351 10.0396 1.5808
-3.8722 2.7381 11.0657
-1.2907 3.6507 3.1616
-2.5815 7.3015 0.0000
6.4537 3.6507 9.4849
-3.8722 8.2142 4.7425
-5.1629 3.6507 6.3233
3.8722 2.7381 1.5808
7.7444 0.0000 0.0000
1.2907 -3.6507 9.4849
-1.2907 11.8649 1.5808
3.8722 10.9522 3.1616
1.2907 4.5634 11.0657
5.1629 -3.6507 6.3233
-1.2907 0.9127 7.9041
2.5815 3.6507 6.3233
-2.5815 -3.6507 6.3233
0.0000 0.0000 0.0000
9.0351 -0.9127 7.9041
5.1629 7.3015 0.0000
6.4537 6.3888 4.7425
6.4537 -4.5634 11.0657
```

Calculated values
Total energy (eV per cell): -335.85
Formation energy (eV/atom): 0.0295
V (Å³/cell): 2860.43

***

The following is a PBE calculation of a relaxed PmInGe crystal, from Alexandria.

```
PmInGe
1.0
-3.1679 -0.7335 3.0835
1.7726 -4.8654 -2.5925
4.3291 -0.7035 4.2801
Pm Ge In
2 2 2
Cartesian
-0.3818 -3.8665 1.9443
3.3156 -2.4359 2.8269
1.1283 -1.4533 0.8135
1.8055 -4.8490 3.9577
0.5806 -0.7185 3.6818
-1.5839 -0.3668 1.5418
```

Calculated values
Excess energy over the best structure of this formula in the dataset (eV/atom): 0.000
Total energy (eV per cell): -27.70
Formation energy (eV/atom): -0.5809
V (Å³/cell): 146.65

***

The following is a PBE calculation of a relaxed Pm6InGe3 crystal, from Alexandria.

```
Pm6InGe3
1.0
-7.3430 -0.7097 2.3213
0.4222 -8.3931 -1.2307
2.6249 -0.9048 8.0267
Pm Ge In
12 6 2
Cartesian
-0.1152 -3.5281 2.5362
-0.2363 -7.3014 0.5581
-3.6907 -3.5567 4.1002
-6.1611 -4.8083 1.5925
1.3047 -1.8092 7.3814
-4.6924 -9.2900 4.8683
-1.4431 -0.8955 4.8305
-4.0992 -8.0534 1.2613
0.7982 -6.3153 4.5734
-2.4047 -2.5463 8.0360
-2.7773 -6.3439 6.1374
0.0256 -5.3772 8.1062
-4.0816 -8.2953 7.9366
-2.5280 -1.9360 1.9121
-0.4811 -8.1820 6.4773
-6.1284 -2.0493 3.3713
-5.1512 -6.4262 3.9592
-0.7942 -3.7409 5.6795
-5.1859 -4.0904 7.1704
-2.2453 -6.2203 2.9380
```

Calculated values
Total energy (eV per cell): -102.47
Formation energy (eV/atom): -0.6140
V (Å³/cell): 557.82

***

The following is a PBE calculation of a relaxed Pm5InGe3 crystal, from Alexandria.

```
Pm5InGe3
1.0
6.4516 0.0000 0.0000
0.0000 9.2057 0.0000
0.0000 -4.6029 7.9707
Ge Pm In
6 10 2
Cartesian
4.8387 1.6959 2.9375
1.6129 -1.6959 2.9375
1.6129 3.3931 0.0000
4.8387 6.2988 5.0332
1.6129 2.9069 5.0332
4.8387 5.8126 0.0000
1.6129 6.5197 0.0000
4.8387 7.8623 2.3259
4.8387 2.6860 0.0000
0.0000 0.0000 5.3139
3.2258 4.6029 2.6567
1.6129 1.3435 2.3259
4.8387 3.2594 5.6448
3.2258 0.0000 5.3139
0.0000 4.6029 2.6567
1.6129 -3.2594 5.6448
0.0000 0.0000 0.0000
3.2258 0.0000 0.0000
```

Calculated values
Total energy (eV per cell): -91.73
Formation energy (eV/atom): -0.6137
V (Å³/cell): 473.39

***

The following is a PBE calculation of a relaxed Pm6InGe2 crystal, from Alexandria.

```
Pm6InGe2
1.0
-1.4251 -2.2523 3.4649
6.7480 -4.7773 -0.3300
0.0523 6.9271 4.5244
Pm Ge In
6 2 1
Cartesian
6.7621 -2.8239 0.9456
4.8824 1.5440 3.0119
1.9034 -1.3475 -0.0931
-0.6816 2.9674 4.4061
2.0691 -0.2468 3.4482
3.2751 -3.9493 1.5374
2.2840 3.0254 2.9061
4.5162 -0.8757 1.2883
-0.7121 -1.1265 1.7324
```

Calculated values
Excess energy over the best structure of this formula in the dataset (eV/atom): 0.046
Total energy (eV per cell): -44.90
Formation energy (eV/atom): -0.4915
V (Å³/cell): 259.18

***

The following is a PBE calculation of a relaxed Pm2In3Ge crystal, from Alexandria.

```
Pm2In3Ge
1.0
4.0362 0.0000 0.0000
0.0000 4.7815 0.0000
0.0000 0.0000 8.1368
Pm In Ge
2 3 1
Cartesian
0.0000 0.0000 3.9540
0.0000 2.3907 0.1814
2.0181 0.0000 6.7665
2.0181 2.3907 5.3517
2.0181 0.0000 1.4097
2.0181 2.3907 2.6787
```

Calculated values
Total energy (eV per cell): -24.97
Formation energy (eV/atom): -0.4391
V (Å³/cell): 157.03

***

The following is a PBE calculation of a relaxed PmInGe crystal, from Alexandria.

```
PmInGe
1.0
-3.6616 2.7960 0.2079
-0.7776 -0.7000 -4.2799
-1.8310 -2.6232 3.0296
Pm In Ge
1 1 1
Cartesian
-2.5993 -1.1274 0.6566
-3.8245 0.7174 -1.6903
-3.5080 2.6787 0.1992
```

Calculated values
Excess energy over the best structure of this formula in the dataset (eV/atom): 0.057
Total energy (eV per cell): -13.68
Formation energy (eV/atom): -0.5241
V (Å³/cell): 77.53

***

The following is a PBE calculation of a relaxed Pm2InGe3 crystal, from Alexandria.

```
Pm2InGe3
1.0
-0.3858 -3.6059 -2.8701
4.4984 -2.9665 3.1223
-5.7527 1.0978 3.1202
Pm Ge In
2 3 1
Cartesian
-0.0940 -2.8705 3.6191
-1.5461 -2.6041 -0.2467
0.9695 -3.9296 1.0806
0.0000 0.0000 0.0000
-2.6096 -1.5450 2.2918
2.2492 -1.4832 1.5612
```

Calculated values
Total energy (eV per cell): -28.13
Formation energy (eV/atom): -0.3395
V (Å³/cell): 155.08

***

The following is a PBE calculation of a relaxed Pm2InGe3Pt4 crystal, from Alexandria.

```
Pm2InGe3Pt4
1.0
-3.4171 2.1623 1.6634
-2.6553 -3.2478 -1.2328
1.5006 -4.7318 9.2338
Ge Pm In Pt
3 2 1 4
Cartesian
-0.3936 -3.0654 8.9233
0.7503 -2.3659 4.6169
-1.1420 -2.2092 0.5257
-1.3454 -0.0640 3.0663
-0.1902 -5.2106 6.3827
-2.2859 -2.9087 4.8322
-3.0362 -0.5428 0.2153
0.0000 0.0000 0.0000
-0.7946 -3.3047 2.6635
-0.7410 -1.9699 6.7855
```

Calculated values
Total energy (eV per cell): -59.02
Formation energy (eV/atom): -0.8760
V (Å³/cell): 200.43